Record 1
The following is a DFT calculation (PBE) of Na2PuAlSb2 after structural relaxation.

Summary:
energy relative to the elements, uncorrected = -0.3609 eV/atom
SG = Pmc2_1, No. 26
E = -62.25 eV/cell

Lattice parameters (Å, degrees): 4.8364 6.9005 9.2955 90.00 90.00 90.00
Last column: nearest neighbours and their distance in Å.
Fractional coordinates of all 12 atoms:
Na 0.5000 0.0148 0.0421  6 Na 3.26-3.54, 5 Sb 3.30-3.63, 1 Al 3.54
Na 0.0000 0.2966 0.1495  4 Sb 3.06-3.19, 4 Na 3.26-3.36
Na 0.5000 0.5148 0.9579  6 Na 3.26-3.54, 5 Sb 3.30-3.63, 1 Al 3.54
Na 0.0000 0.7966 0.8505  4 Sb 3.06-3.19, 4 Na 3.26-3.36
Pu 0.0000 0.0031 0.4809  6 Sb 3.21-3.54, 4 Al 3.22-3.45, 2 Pu 3.47
Pu 0.0000 0.5031 0.5191  6 Sb 3.21-3.54, 4 Al 3.22-3.45, 2 Pu 3.47
Al 0.5000 0.1988 0.6580  4 Sb 2.84-2.92
Al 0.5000 0.6988 0.3420  4 Sb 2.84-2.92
Sb 0.0000 0.2561 0.8118  2 Al 2.84, 1 Na 3.15
Sb 0.5000 0.2762 0.3508  2 Al 2.91-2.92, 2 Na 3.06
Sb 0.0000 0.7561 0.1882  2 Al 2.84, 1 Na 3.15
Sb 0.5000 0.7762 0.6492  2 Al 2.91-2.92, 2 Na 3.06

=====

Record 2
The following is a DFT calculation (PBE) of Na3Pu2AlSe6 after structural relaxation.

Summary:
energy relative to the elements, uncorrected = -1.2146 eV/atom
SG = C2/m, No. 12
E = -71.85 eV/cell

Lattice parameters (Å, degrees): 7.1089 7.1089 7.3278 99.32 99.32 120.06
Last column: nearest neighbours and their distance in Å.
Fractional coordinates of all 12 atoms:
Na 0.1687 0.8313 0.5000  6 Se 2.99-3.18
Na 0.8313 0.1687 0.5000  6 Se 2.99-3.18
Na 0.5000 0.5000 0.5000  6 Se 2.99-3.23
Pu 0.3333 0.6667 0.0000  6 Se 2.90
Pu 0.6667 0.3333 0.0000  6 Se 2.90
Al 0.0000 0.0000 0.0000  6 Se 2.64-2.68
Se 0.9261 0.6178 0.7783  1 Al 2.68, 2 Pu 2.90, 2 Na 2.99
Se 0.7671 0.7671 0.2177  1 Al 2.64, 2 Pu 2.90
Se 0.0739 0.3822 0.2217  1 Al 2.68, 2 Pu 2.90, 2 Na 2.99
Se 0.6178 0.9261 0.7783  1 Al 2.68, 2 Pu 2.90, 2 Na 2.99
Se 0.2329 0.2329 0.7823  1 Al 2.64, 2 Pu 2.90
Se 0.3822 0.0739 0.2217  1 Al 2.68, 2 Pu 2.90, 2 Na 2.99

=====

Record 3
The following is a DFT calculation (PBE) of Na3Pu3AlTe8 after structural relaxation.

Summary:
energy relative to the elements, uncorrected = -0.8469 eV/atom
SG = R-3m, No. 166
E = -88.53 eV/cell

Lattice parameters (Å, degrees): 8.8319 8.8329 9.0865 119.09 90.00 120.00
Last column: nearest neighbours and their distance in Å.
Fractional coordinates of all 15 atoms:
Na 0.0000 0.0000 0.0000  6 Te 3.24-3.26
Na 0.0000 0.5000 0.0000  6 Te 3.24-3.26
Na 0.5000 0.5000 0.0000  6 Te 3.24-3.26
Pu 0.5000 0.0000 0.5000  6 Te 3.10
Pu 0.5000 0.5000 0.5000  6 Te 3.10
Pu 0.0000 0.5000 0.5000  6 Te 3.10
Al 0.0000 0.0000 0.5000  6 Te 2.88
Te 0.2554 0.5107 0.2661  3 Pu 3.10, 3 Na 3.24
Te 0.7446 0.4893 0.7339  3 Pu 3.10, 3 Na 3.24
Te 0.7727 0.5454 0.2836  1 Al 2.88, 2 Pu 3.10
Te 0.2273 0.4546 0.7164  1 Al 2.88, 2 Pu 3.10
Te 0.7727 0.0108 0.2835  1 Al 2.88, 2 Pu 3.10
Te 0.2273 0.9892 0.7165  1 Al 2.88, 2 Pu 3.10
Te 0.2382 0.0108 0.2835  1 Al 2.88, 2 Pu 3.10
Te 0.7618 0.9892 0.7165  1 Al 2.88, 2 Pu 3.10

=====

Record 4
The following is a DFT calculation (PBE) of Rb2NaAl after structural relaxation.

Summary:
SG = I-42d, No. 122
ΔH_f (0 K) = 0.41 eV/atom
E = -10.70 eV/cell

Lattice parameters (Å, degrees): 10.5240 10.5240 8.2882 50.59 50.59 90.00
Last column: nearest neighbours and their distance in Å.
Fractional coordinates of all 8 atoms:
Na 0.5000 0.5000 0.0000  2 Al 3.65, 4 Rb 4.05
Na 0.2500 0.7500 0.5000  2 Al 3.65, 4 Rb 4.05
Al 0.0000 0.0000 0.0000  4 Rb 3.63, 2 Na 3.65
Al 0.7500 0.2500 0.5000  4 Rb 3.63, 2 Na 3.65
Rb 0.6538 0.1250 0.2500  2 Al 3.63, 2 Rb 3.70, 2 Na 4.05
Rb 0.0962 0.6250 0.2500  2 Al 3.63, 2 Rb 3.70, 2 Na 4.05
Rb 0.3750 0.3462 0.7500  2 Al 3.63, 2 Rb 3.70, 2 Na 4.05
Rb 0.8750 0.9038 0.7500  2 Al 3.63, 2 Rb 3.70, 2 Na 4.05

=====

Record 5
The following is a DFT calculation (PBE) of Rb2Na2Al after structural relaxation.

Summary:
SG = P4/mbm, No. 127
ΔH_f (0 K) = 0.25 eV/atom
E = -14.11 eV/cell

Lattice parameters (Å, degrees): 8.4883 8.4883 6.4659 90.00 90.00 90.00
Last column: nearest neighbours and their distance in Å.
Fractional coordinates of all 10 atoms:
Na 0.3451 0.8451 0.0000  2 Al 3.21
Na 0.8451 0.6549 0.0000  2 Al 3.21
Na 0.6549 0.1549 0.0000  2 Al 3.21
Na 0.1549 0.3451 0.0000  2 Al 3.21
Al 0.0000 0.0000 0.0000  4 Na 3.21
Al 0.5000 0.5000 0.0000  4 Na 3.21
Rb 0.1864 0.6864 0.5000  2 Na 3.75
Rb 0.6864 0.8136 0.5000  2 Na 3.75
Rb 0.8136 0.3136 0.5000  2 Na 3.75
Rb 0.3136 0.1864 0.5000  2 Na 3.75

=====

Record 6
The following is a DFT calculation (PBE) of RbNaAl3 after structural relaxation.

Summary:
SG = Pm-3m, No. 221
ΔH_f (0 K) = 0.83 eV/atom
energy relative to the lowest polymorph listed for this composition = 0 meV per atom
E = -9.38 eV/cell

Lattice parameters (Å, degrees): 5.5403 5.5403 5.5403 90.00 90.00 90.00
Last column: nearest neighbours and their distance in Å.
Fractional coordinates of all 5 atoms:
Na 0.0000 0.0000 0.0000  6 Al 2.77
Al 0.0000 0.5000 0.0000  2 Na 2.77
Al 0.0000 0.0000 0.5000  2 Na 2.77
Al 0.5000 0.0000 0.0000  2 Na 2.77
Rb 0.5000 0.5000 0.5000  12 Al 3.92

=====

Record 7
The following is a DFT calculation (PBE) of Rb3NaAl after structural relaxation.

Summary:
SG = Pm-3m, No. 221
ΔH_f (0 K) = 0.36 eV/atom
energy relative to the lowest polymorph listed for this composition = 0 meV per atom
E = -6.18 eV/cell

Lattice parameters (Å, degrees): 7.0906 7.0906 7.0906 90.00 90.00 90.00
Last column: nearest neighbours and their distance in Å.
Fractional coordinates of all 5 atoms:
Na 0.5000 0.5000 0.5000  12 Rb 5.01
Al 0.0000 0.0000 0.0000  6 Rb 3.55
Rb 0.0000 0.5000 0.0000  2 Al 3.55
Rb 0.0000 0.0000 0.5000  2 Al 3.55
Rb 0.5000 0.0000 0.0000  2 Al 3.55

=====

Record 8
The following is a DFT calculation (PBE) of RbNaAl3 after structural relaxation.

Summary:
SG = Pm-3m, No. 221
ΔH_f (0 K) = 1.37 eV/atom
energy relative to the lowest polymorph listed for this composition = 547 meV per atom
E = -6.64 eV/cell

Lattice parameters (Å, degrees): 6.1069 6.1069 6.1069 90.00 90.00 90.00
Last column: nearest neighbours and their distance in Å.
Fractional coordinates of all 5 atoms:
Na 0.5000 0.5000 0.5000  12 Al 4.32
Al 0.0000 0.5000 0.0000  2 Rb 3.05
Al 0.0000 0.0000 0.5000  2 Rb 3.05
Al 0.5000 0.0000 0.0000  2 Rb 3.05
Rb 0.0000 0.0000 0.0000  6 Al 3.05

=====

Record 9
The following is a DFT calculation (PBE) of RbNa2AlSe after structural relaxation.

Summary:
energy relative to the elements, uncorrected = -0.1302 eV/atom
SG = P4/mmm, No. 123
energy relative to the lowest polymorph listed for this composition = 9 meV per atom
E = -11.48 eV/cell

Lattice parameters (Å, degrees): 5.5877 6.0889 5.5877 90.00 90.00 90.00
Last column: nearest neighbours and their distance in Å.
Fractional coordinates of all 5 atoms:
Na 0.0000 0.0000 0.5000  2 Se 2.79
Na 0.5000 0.0000 0.0000  2 Se 2.79
Se 0.0000 0.0000 0.0000  4 Na 2.79, 2 Al 3.04
Rb 0.5000 0.5000 0.5000  4 Al 3.95, 8 Na 4.13
Al 0.0000 0.5000 0.0000  2 Se 3.04

=====

Record 10
The following is a DFT calculation (PBE) of RbNa2AlSe after structural relaxation.

Summary:
energy relative to the elements, uncorrected = -0.1394 eV/atom
SG = P4/mmm, No. 123
energy relative to the lowest polymorph listed for this composition = 0 meV per atom
E = -11.53 eV/cell

Lattice parameters (Å, degrees): 5.5588 6.6948 5.5588 90.00 90.00 90.00
Last column: nearest neighbours and their distance in Å.
Fractional coordinates of all 5 atoms:
Na 0.0000 0.0000 0.5000  2 Se 2.78
Na 0.5000 0.0000 0.0000  2 Se 2.78
Se 0.0000 0.0000 0.0000  4 Na 2.78
Rb 0.0000 0.5000 0.0000  2 Se 3.35
Al 0.5000 0.5000 0.5000  4 Rb 3.93, 8 Na 4.35

=====

Record 11
The following is a DFT calculation (PBE) of Rb2Na4AlSn2 after structural relaxation.

Summary:
SG = C2/m, No. 12
ΔH_f (0 K) = -0.05 eV/atom
E = -19.42 eV/cell

Lattice parameters (Å, degrees): 5.6725 8.4692 8.4692 56.60 74.25 74.25
Last column: nearest neighbours and their distance in Å.
Fractional coordinates of all 9 atoms:
Rb 0.3390 0.6332 0.6332  6 Na 3.68-3.71, 4 Sn 3.80-4.08, 1 Rb 3.83
Rb 0.6610 0.3668 0.3668  6 Na 3.68-3.71, 4 Sn 3.80-4.08, 1 Rb 3.83
Na 0.1587 0.6612 0.0705  1 Na 3.29, 3 Sn 3.34-3.51, 1 Al 3.58
Na 0.8413 0.9295 0.3388  1 Na 3.29, 3 Sn 3.34-3.51, 1 Al 3.58
Na 0.8413 0.3388 0.9295  1 Na 3.29, 3 Sn 3.34-3.51, 1 Al 3.58
Na 0.1587 0.0705 0.6612  1 Na 3.29, 3 Sn 3.34-3.51, 1 Al 3.58
Al 0.5000 0.0000 0.0000  2 Sn 2.62
Sn 0.2979 0.1837 0.1837  1 Al 2.62
Sn 0.7021 0.8163 0.8163  1 Al 2.62

=====

Record 12
The following is a DFT calculation (PBE) of Rb2NaAlSn2 after structural relaxation.

Summary:
SG = Ibam, No. 72
ΔH_f (0 K) = -0.13 eV/atom
E = -31.51 eV/cell

Lattice parameters (Å, degrees): 7.4627 6.9612 9.9608 110.45 112.00 90.00
Last column: nearest neighbours and their distance in Å.
Fractional coordinates of all 12 atoms:
Rb 0.4052 0.1713 0.3426  5 Sn 3.76-4.17, 2 Na 3.83, 2 Al 3.94
Rb 0.5948 0.8287 0.6574  5 Sn 3.76-4.17, 2 Na 3.83, 2 Al 3.94
Rb 0.0626 0.3287 0.6574  5 Sn 3.76-4.17, 2 Na 3.83, 2 Al 3.94
Rb 0.9374 0.6713 0.3426  5 Sn 3.76-4.17, 2 Na 3.83, 2 Al 3.94
Na 0.0000 0.7500 0.0000  4 Sn 3.22, 2 Na 3.48
Na 0.0000 0.2500 0.0000  4 Sn 3.22, 2 Na 3.48
Al 0.5000 0.7500 0.0000  4 Sn 2.81
Al 0.5000 0.2500 0.0000  4 Sn 2.81
Sn 0.7980 0.0928 0.1855  2 Al 2.81
Sn 0.3875 0.5928 0.1855  2 Al 2.81
Sn 0.6125 0.4072 0.8145  2 Al 2.81
Sn 0.2020 0.9072 0.8145  2 Al 2.81

=====

Look up the E of the sixth one. -9.38 eV/cell